This record from Alexandria describes a geometry-optimized TiSbWF2 structure. The functional is GGA+U.

Its total energy is -5.7647 eV per atom. The value obtained for the calculated volume is 19.45 Å³/atom.

The structure belongs to space group P4/mmm (No. 123); the cell edges are 3.9636, 3.9636 and 6.1895 Å and the angles 90.00°, 90.00° and 90.00°. The asymmetric unit holds Ti at (0.0000, 0.0000, 0.0000), Sb at (0.5000, 0.5000, 0.5000), W at (0.0000, 0.0000, 0.5000) and F at (0.0000, 0.5000, 0.0000).



This record from Alexandria describes a geometry-optimized TiSbW2F structure. The functional is GGA+U.

The energy above the most stable polymorph in this dataset comes out at 875 meV per atom. The value obtained for the calculated volume is 32.26 Å³/atom.

The structure belongs to space group P4/mmm (No. 123); the cell edges are 5.4983, 5.4983 and 5.3357 Å and the angles 90.00°, 90.00° and 90.00°. The asymmetric unit holds Ti at (0.0000, 0.0000, 0.0000), Sb at (0.0000, 0.0000, 0.5000), W at (0.0000, 0.5000, 0.5000) and F at (0.5000, 0.5000, 0.0000).



This record from Alexandria describes a geometry-optimized TiSbW2F structure. The functional is GGA+U.

The energy above the most stable polymorph in this dataset comes out at 0 meV per atom. The value obtained for the calculated volume is 16.94 Å³/atom.

The structure belongs to space group P4/mmm (No. 123); the cell edges are 4.4327, 4.4327 and 4.3105 Å and the angles 90.00°, 90.00° and 90.00°. The asymmetric unit holds Ti at (0.0000, 0.0000, 0.0000), Sb at (0.5000, 0.5000, 0.0000), W at (0.0000, 0.5000, 0.5000) and F at (0.0000, 0.0000, 0.5000).